No. 1
The following is a PBE calculation of a relaxed InTc2Ir crystal, from Alexandria.

```
data_InTc2Ir
_space_group_name_H-M_alt 'F -4 3 m'
_space_group_IT_number 216
_space_group_name_Hall 'F -4 2 3'
_cell_length_a 6.365
_cell_length_b 6.365
_cell_length_c 6.365
_cell_angle_alpha 90.00
_cell_angle_beta 90.00
_cell_angle_gamma 90.00
loop_
_atom_site_label
_atom_site_fract_x
_atom_site_fract_y
_atom_site_fract_z
In1 0.000 0.000 0.000
Tc1 0.000 0.000 0.500
Tc2 0.250 0.250 0.750
Ir1 0.250 0.250 0.250
```

Summary:
**Final energy**: -7.815 eV/atom
**Fermi-level density of states**: 0.505 states/eV/atom
**Crystal system**: cubic

No. 2
The following is a PBE calculation of a relaxed InTcIr crystal, from Alexandria.

```
data_InTcIr
_space_group_name_H-M_alt 'P -6 m 2'
_space_group_IT_number 187
_space_group_name_Hall 'P -6 2'
_cell_length_a 4.5238
_cell_length_b 4.5238
_cell_length_c 2.8047
_cell_angle_alpha 90.00
_cell_angle_beta 90.00
_cell_angle_gamma 120.00
loop_
_atom_site_label
_atom_site_fract_x
_atom_site_fract_y
_atom_site_fract_z
In1 0.0000 0.0000 0.0000
Tc1 0.6667 0.3333 0.5000
Ir1 0.3333 0.6667 0.0000
```

Summary:
**Final energy**: -6.966 eV/atom
**Fermi-level density of states**: 1.256 states/eV/atom
**Crystal system**: hexagonal

No. 3
The following is a PBE calculation of a relaxed InTc2Ir crystal, from Alexandria.

```
data_InTc2Ir
_space_group_name_H-M_alt 'I -4 2 d'
_space_group_IT_number 122
_space_group_name_Hall 'I -4 2bw'
_cell_length_a 7.417
_cell_length_b 7.417
_cell_length_c 5.269
_cell_angle_alpha 90.00
_cell_angle_beta 90.00
_cell_angle_gamma 90.00
loop_
_atom_site_label
_atom_site_fract_x
_atom_site_fract_y
_atom_site_fract_z
In1 0.000 0.000 0.000
Tc1 0.205 0.750 0.625
Ir1 0.000 0.000 0.500
```

Summary:
**Final energy**: -7.381 eV/atom
**Fermi-level density of states**: 1.227 states/eV/atom
**Crystal system**: tetragonal

No. 4
The following is a PBE calculation of a relaxed InTc2Ir2 crystal, from Alexandria.

```
data_InTc2Ir2
_space_group_name_H-M_alt 'P 4/m b m'
_space_group_IT_number 127
_space_group_name_Hall '-P 4 2ab'
_cell_length_a 7.698
_cell_length_b 7.698
_cell_length_c 2.781
_cell_angle_alpha 90.00
_cell_angle_beta 90.00
_cell_angle_gamma 90.00
loop_
_atom_site_label
_atom_site_fract_x
_atom_site_fract_y
_atom_site_fract_z
In1 0.000 0.000 0.000
Tc1 0.122 0.378 0.000
Ir1 0.167 0.667 0.500
```

Summary:
**Final energy**: -8.085 eV/atom
**Fermi-level density of states**: 0.789 states/eV/atom
**Crystal system**: tetragonal